# 1
A plane-wave DFT calculation with PBE-GGA was carried out for crystalline Rb2Na4Tl at its relaxed geometry.

Output
Formation energy, eV per atom: 0.04

a = 6.1048 Å, b = 6.1048 Å, c = 10.9723 Å
α = 106.15°, β = 106.15°, γ = 90.00°
Positions (direct):
Rb 0.6411 0.6411 0.2822
Rb 0.3589 0.3589 0.7178
Na 0.5000 0.0000 0.0000
Na 0.0000 0.5000 0.0000
Na 0.1539 0.1539 0.3078
Na 0.8461 0.8461 0.6922
Tl 0.0000 0.0000 0.0000

# 2
A plane-wave DFT calculation with PBE-GGA was carried out for crystalline RbNa4Tl at its relaxed geometry.

Output
Formation energy, eV per atom: -0.01
Distance to the lowest polymorph of the same formula, kJ/mol of formula units: 0

a = 7.1672 Å, b = 8.6377 Å, c = 9.6702 Å
α = 116.53°, β = 109.06°, γ = 90.00°
Positions (direct):
Na 0.5420 0.3064 0.2084
Na 0.0000 0.2127 0.0000
Na 0.7621 0.3406 0.6811
Na 0.5420 0.9020 0.2084
Na 0.4580 0.6936 0.7916
Na 0.4580 0.0980 0.7916
Na 0.2379 0.6594 0.3189
Na 0.0000 0.7873 0.0000
Tl 0.2618 0.4658 0.9316
Tl 0.7382 0.5342 0.0684
Rb 0.8628 0.7795 0.5590
Rb 0.1372 0.2205 0.4410

# 3
A plane-wave DFT calculation with PBE-GGA was carried out for crystalline RbNa3Tl3 at its relaxed geometry.

Output
Formation energy, eV per atom: 0.18
Distance to the lowest polymorph of the same formula, kJ/mol of formula units: 151

a = 8.6135 Å, b = 8.6135 Å, c = 8.6135 Å
α = 90.00°, β = 90.00°, γ = 90.00°
Positions (direct):
Tl 0.2500 0.0000 0.5000
Tl 0.5000 0.2500 0.0000
Tl 0.0000 0.5000 0.2500
Tl 0.5000 0.7500 0.0000
Tl 0.7500 0.0000 0.5000
Tl 0.0000 0.5000 0.7500
Na 0.0000 0.2500 0.5000
Na 0.0000 0.7500 0.5000
Na 0.5000 0.0000 0.2500
Na 0.2500 0.5000 0.0000
Na 0.7500 0.5000 0.0000
Na 0.5000 0.0000 0.7500
Rb 0.5000 0.5000 0.5000
Rb 0.0000 0.0000 0.0000

# 4
A plane-wave DFT calculation with PBE-GGA was carried out for crystalline RbNaTl2 at its relaxed geometry.

Output
Formation energy, eV per atom: 0.05
Distance to the lowest polymorph of the same formula, kJ/mol of formula units: 48

a = 5.6750 Å, b = 5.6750 Å, c = 12.0968 Å
α = 76.43°, β = 76.43°, γ = 90.00°
Positions (direct):
Tl 0.3750 0.5337 0.7500
Tl 0.8750 0.7163 0.7500
Tl 0.4663 0.1250 0.2500
Tl 0.2837 0.6250 0.2500
Na 0.2500 0.7500 0.5000
Na 0.5000 0.5000 0.0000
Rb 0.0000 0.0000 0.0000
Rb 0.7500 0.2500 0.5000

# 5
A plane-wave DFT calculation with PBE-GGA was carried out for crystalline Rb2Na2Tl at its relaxed geometry.

Output
Formation energy, eV per atom: 0.00
Distance to the lowest polymorph of the same formula, kJ/mol of formula units: 3

a = 7.1098 Å, b = 5.6633 Å, c = 7.6844 Å
α = 68.38°, β = 62.44°, γ = 90.00°
Last column: magnetic moment on the atom in μB.
Positions (direct):
Tl 0.0000 0.0000 0.0000  0.06
Na 0.2382 0.5000 0.0000  0.00
Na 0.7618 0.5000 0.0000  0.00
Rb 0.6976 0.1976 0.6049  0.01
Rb 0.3024 0.8024 0.3951  0.01

# 6
A plane-wave DFT calculation with PBE-GGA was carried out for crystalline Rb3NaTl4 at its relaxed geometry.

Output
Formation energy, eV per atom: -0.05

a = 7.3600 Å, b = 7.3374 Å, c = 9.8872 Å
α = 131.70°, β = 111.85°, γ = 90.00°
Positions (direct):
Tl 0.7627 0.0474 0.1953
Tl 0.6598 0.5785 0.4303
Tl 0.2295 0.4215 0.5697
Tl 0.5674 0.9526 0.8047
Na 0.4548 0.5000 0.0000
Rb 0.7352 0.2785 0.6575
Rb 0.0777 0.7215 0.3425
Rb 0.1640 0.0000 0.0000

| no. | electronic total energy (eV for the cell shown) |
| --- | --- |
| 1 | -9.29 |
| 2 | -17.34 |
| 3 | -21.48 |
| 4 | -13.62 |
| 5 | -6.92 |
| 6 | -14.07 |